1.
SrLaRu2: optimized geometry, PBE.

a = 9.7775 Å, b = 9.7775 Å, c = 9.7775 Å
α = 149.70°, β = 149.70°, γ = 43.38°
With the nearest neighbours (Å) after each atom.
Element x y z (fractional)
Sr: 0.0000 0.0000 0.0000  4 La 3.61, 8 Ru 3.62-3.68
Sr: 0.7500 0.2500 0.5000  4 La 3.61, 8 Ru 3.62-3.68
La: 0.2500 0.7500 0.5000  4 Ru 2.61
La: 0.5000 0.5000 0.0000  4 Ru 2.61
Ru: 0.3665 0.6250 0.2415  2 Ru 2.56, 2 La 2.61
Ru: 0.3750 0.6165 0.7415  2 Ru 2.56, 2 La 2.61
Ru: 0.3835 0.1250 0.7585  2 Ru 2.56, 2 La 2.61
Ru: 0.8750 0.6335 0.2585  2 Ru 2.56, 2 La 2.61

Values from the calculation:
Space group = I-42d


2.
SrLa2Ru: optimized geometry, PBE.

a = 6.3156 Å, b = 6.3156 Å, c = 6.3156 Å
α = 137.57°, β = 137.57°, γ = 61.56°
With the nearest neighbours (Å) after each atom.
Element x y z (fractional)
Sr: 0.0000 0.0000 0.0000  8 La 3.23-3.55, 4 Ru 3.55
La: 0.2500 0.7500 0.5000  4 Ru 3.23, 4 La 3.55, 4 Sr 3.55
La: 0.5000 0.5000 0.0000  4 Sr 3.23, 4 La 3.55, 4 Ru 3.55
Ru: 0.7500 0.2500 0.5000  8 La 3.23-3.55, 4 Sr 3.55

Values from the calculation:
Space group = I-4m2
Offset from the most stable computed form = 12.233 kcal/mol of atoms


3.
Sr2LaRu: optimized geometry, PBE.

a = 11.5234 Å, b = 11.5234 Å, c = 11.5234 Å
α = 18.62°, β = 18.62°, γ = 18.62°
With the nearest neighbours (Å) after each atom.
Element x y z (fractional)
Sr: 0.2277 0.2277 0.2277  3 Ru 2.99
Sr: 0.7723 0.7723 0.7723  3 Ru 2.99
La: 0.0000 0.0000 0.0000  6 La 3.73
Ru: 0.5000 0.5000 0.5000  6 Sr 2.99

Values from the calculation:
Space group = R-3m
Offset from the most stable computed form = 10.962 kcal/mol of atoms


no.,energy relative to the elements (meV/atom),magnetization (μB/cell)
1,576,0.0
2,353,0.0
3,517,0.4